1.
19
Lattice="-3.516 -3.996 -3.780 4.760 0.088 -4.467 2.779 -5.143 2.905" Properties=species:S:1:pos:R:3 comment="OsRu6Rh12, optimized geometry, DFT PBE" crystal_system=trigonal ef_mev_per_atom=203 magmom_total_mub_per_atom=0.000 pbc="T T T"
Ru -1.278 -4.226 -2.472
Ru 1.193 -7.490 -1.450
Ru 2.831 -1.561 -3.892
Ru 1.163 -4.909 -5.846
Ru 5.301 -4.826 -2.870
Ru 2.861 -4.143 0.504
Rh 3.336 -6.525 -5.660
Rh 3.192 -4.254 -4.275
Rh -0.463 -1.684 -1.977
Rh 0.688 -2.527 0.318
Rh 4.486 -7.367 -3.365
Rh 1.967 -8.129 -3.972
Rh 0.832 -4.798 -1.067
Rh 0.710 -5.837 -3.462
Rh 2.057 -0.922 -1.370
Rh 3.168 -5.814 -1.650
Rh 0.856 -3.238 -3.692
Rh 3.313 -3.215 -1.880
Os 0.000 0.000 0.000

---

2.
14
Lattice="-1.801 -2.445 -3.812 8.714 0.014 -4.126 2.033 -2.417 4.286" Properties=species:S:1:pos:R:3 comment="Os2Ru3Rh2, optimized geometry, DFT PBE" crystal_system=monoclinic ef_mev_per_atom=373 magmom_total_mub_per_atom=0.000 pbc="T T T"
Os 6.573 -4.049 -2.206
Os 7.094 -1.617 -2.744
Os 2.373 -0.799 -1.448
Os 1.852 -3.231 -0.909
Ru 2.856 -2.262 -4.603
Ru 4.473 -2.424 -1.827
Ru 6.089 -2.586 0.950
Ru 0.909 -2.255 1.276
Ru 8.037 -2.594 -4.929
Ru 0.000 0.000 0.000
Rh 8.304 -2.827 -0.671
Rh 5.380 -2.843 -4.244
Rh 0.642 -2.021 -2.982
Rh 3.566 -2.006 0.590

---

3.
4
Lattice="4.700 0.001 -0.003 1.580 4.426 0.003 -3.138 -2.216 2.707" Properties=species:S:1:pos:R:3 comment="OsRu2Rh, optimized geometry, DFT PBE" crystal_system=tetragonal ef_mev_per_atom=98 magmom_total_mub_per_atom=0.000 pbc="T T T"
Ru 0.000 0.000 0.000
Ru 0.791 2.212 1.355
Os 3.140 2.213 0.000
Rh 2.351 -0.001 1.352

---

4.
7
Lattice="2.736 0.000 0.000 -1.368 2.361 -0.200 0.000 -0.291 15.282" Properties=species:S:1:pos:R:3 comment="Os2Ru4Rh, optimized geometry, DFT PBE" crystal_system=trigonal ef_mev_per_atom=33 magmom_total_mub_per_atom=0.000 pbc="T T T"
Os 1.368 0.536 1.401
Os 1.368 0.901 5.751
Ru 1.368 2.291 3.399
Ru 1.368 -0.121 12.405
Ru 0.000 1.869 7.826
Ru 1.368 1.637 14.397
Rh 1.368 1.269 10.075

---

5.
7
Lattice="-2.248 1.433 -0.507 -2.017 -5.883 -0.419 -0.019 2.212 6.317" Properties=species:S:1:pos:R:3 comment="Os2Ru3Rh2, optimized geometry, DFT PBE" crystal_system=monoclinic ef_mev_per_atom=216 magmom_total_mub_per_atom=0.000 pbc="T T T"
Ru 0.000 0.000 0.000
Ru -1.894 -1.350 4.563
Ru -2.389 -0.887 0.828
Rh -0.574 0.027 2.600
Rh -3.710 -2.264 2.790
Os -1.862 1.282 4.603
Os -2.422 -3.519 0.788

---

6.
4
Lattice="-0.917 1.658 -3.339 2.131 -2.588 -1.870 -3.044 -2.289 -0.300" Properties=species:S:1:pos:R:3 comment="OsRu2Rh, optimized geometry, DFT PBE" crystal_system=tetragonal ef_mev_per_atom=97 magmom_total_mub_per_atom=0.000 pbc="T T T"
Rh -0.456 -2.439 -1.085
Os -1.981 -0.316 -1.820
Ru 0.607 -0.465 -2.605
Ru 0.000 0.000 0.000

---

7.
8
Lattice="5.543 0.000 0.000 0.000 5.543 0.000 2.771 2.771 5.443" Properties=species:S:1:pos:R:3 comment="OsRu2Rh, optimized geometry, DFT PBE" crystal_system=tetragonal ef_mev_per_atom=1154 magmom_total_mub_per_atom=0.000 pbc="T T T"
Ru 4.157 4.138 4.082
Ru 6.928 6.947 4.082
Ru 4.176 1.386 1.361
Ru 1.367 4.157 1.361
Rh 2.771 2.771 0.000
Rh 2.771 5.543 2.721
Os 0.000 0.000 0.000
Os 5.543 2.771 2.721

---

8.
8
Lattice="5.236 -0.388 -1.554 -3.007 4.303 -1.556 0.099 0.176 5.111" Properties=species:S:1:pos:R:3 comment="Os2Ru5Rh, optimized geometry, DFT PBE" crystal_system=orthorhombic ef_mev_per_atom=12 magmom_total_mub_per_atom=0.000 pbc="T T T"
Ru 3.687 0.875 3.467
Ru 0.333 1.367 1.691
Ru 1.448 3.325 0.137
Ru 0.952 0.899 -0.864
Ru -0.538 3.037 -1.639
Os 2.932 1.172 0.899
Os -1.180 3.536 0.929
Rh 2.173 3.028 2.692

---

9.
11
Lattice="3.705 0.000 -0.987 -0.398 5.868 -1.493 -0.068 -0.046 7.195" Properties=species:S:1:pos:R:3 comment="Os2RuRh8, optimized geometry, DFT PBE" crystal_system=monoclinic ef_mev_per_atom=31 magmom_total_mub_per_atom=0.000 pbc="T T T"
Rh -0.118 4.274 -0.444
Rh 2.006 2.635 0.081
Rh 1.234 3.187 4.635
Rh 3.358 1.548 5.159
Rh 2.139 5.345 0.582
Rh 1.101 0.477 4.134
Rh 2.827 4.749 3.167
Rh 0.412 1.073 1.549
Ru 1.853 0.000 -0.493
Os 2.681 2.153 2.618
Os 0.559 3.669 2.098

---

10.
4
Lattice="-3.210 -0.221 -3.396 -0.139 -4.367 -1.670 -0.225 1.652 4.371" Properties=species:S:1:pos:R:3 comment="OsRu2Rh, optimized geometry, DFT PBE" crystal_system=tetragonal ef_mev_per_atom=98 magmom_total_mub_per_atom=0.000 pbc="T T T"
Ru -1.674 -2.294 -2.533
Ru 0.000 0.000 0.000
Os -1.020 -2.505 0.084
Rh -2.555 -0.432 -0.779

---

11.
4
Lattice="4.693 0.005 0.000 -1.556 4.428 0.000 0.000 0.000 2.709" Properties=species:S:1:pos:R:3 comment="OsRu2Rh, optimized geometry, DFT PBE" crystal_system=orthorhombic ef_mev_per_atom=81 magmom_total_mub_per_atom=0.000 pbc="T T T"
Os 2.347 0.002 1.355
Ru 0.000 0.000 0.000
Ru 1.568 2.216 0.000
Rh -0.778 2.214 1.355

---

12.
7
Lattice="-1.020 -2.433 -2.749 -2.519 -3.390 6.574 -3.651 1.165 0.323" Properties=species:S:1:pos:R:3 comment="Os3Ru2Rh2, optimized geometry, DFT PBE" crystal_system=monoclinic ef_mev_per_atom=419 magmom_total_mub_per_atom=0.000 pbc="T T T"
Os -4.269 -1.496 2.907
Os -2.921 -3.162 1.241
Os 0.000 0.000 0.000
Rh -5.082 -4.016 2.798
Rh -2.108 -0.642 1.350
Ru -4.446 -1.294 0.154
Ru -2.744 -3.364 3.994

---

Copy entry 6 word for word.
4
Lattice="-0.917 1.658 -3.339 2.131 -2.588 -1.870 -3.044 -2.289 -0.300" Properties=species:S:1:pos:R:3 comment="OsRu2Rh, optimized geometry, DFT PBE" crystal_system=tetragonal ef_mev_per_atom=97 magmom_total_mub_per_atom=0.000 pbc="T T T"
Rh -0.456 -2.439 -1.085
Os -1.981 -0.316 -1.820
Ru 0.607 -0.465 -2.605
Ru 0.000 0.000 0.000